Record 1
Entry from Alexandria: a crystal of KBeOs4 relaxed with PBEsol (meta-GGA SCAN).

Cell: 5.2054 5.2054 5.2054 Å, 60.00 60.00 60.00°
With the nearest neighbours (Å) after each atom.
Element x y z (fractional)
K 0.0000 0.0000 0.0000  12 Os 3.05, 4 Be 3.19
Be 0.2500 0.2500 0.2500  12 Os 3.05, 4 K 3.19
Os 0.1271 0.6243 0.6243  6 Os 2.59-2.62
Os 0.6243 0.1271 0.6243  6 Os 2.59-2.62
Os 0.6243 0.6243 0.1271  6 Os 2.59-2.62
Os 0.6243 0.6243 0.6243  6 Os 2.59-2.62

Density of states at the Fermi level in states/eV/f.u.: 6.617
Formation energy from the elements in kJ/mol of formula units: 692

---

Record 2
Entry from Alexandria: a crystal of KBeP4 relaxed with PBEsol (meta-GGA SCAN).

Cell: 5.4967 5.4967 5.4967 Å, 60.00 60.00 60.00°
With the nearest neighbours (Å) after each atom.
Element x y z (fractional)
K 0.0000 0.0000 0.0000  12 P 3.29, 4 Be 3.37
Be 0.2500 0.2500 0.2500  12 P 3.19, 4 K 3.37
P 0.1897 0.6034 0.6034  3 P 2.27
P 0.6034 0.1897 0.6034  3 P 2.27
P 0.6034 0.6034 0.1897  3 P 2.27
P 0.6034 0.6034 0.6034  3 P 2.27

Density of states at the Fermi level in states/eV/f.u.: 3.452
Formation energy from the elements in kJ/mol of formula units: 299